# Ac5Nd2Dy2 GGA-PBE optimized geometry
data_Ac5Nd2Dy2
_cell_length_a 6.599
_cell_length_b 6.616
_cell_length_c 8.590
_cell_angle_alpha 82.36
_cell_angle_beta 74.93
_cell_angle_gamma 80.11
_symmetry_space_group_name_H-M 'P -1'
_symmetry_Int_Tables_number 2
_symmetry_space_group_name_Hall '-P 1'
loop_
_atom_site_label
_atom_site_type_symbol
_atom_site_fract_x
_atom_site_fract_y
_atom_site_fract_z
Ac1 Ac 0.000 0.000 0.000
Ac2 Ac 0.328 0.665 0.672
Ac3 Ac 0.437 0.889 0.224
Nd1 Nd 0.110 0.231 0.550
Dy1 Dy 0.223 0.449 0.111
# * V: 39.47 Å³/atom
# * energy of formation from the pure elements: 0.051 eV per atom